# Sc2TiCoO6 | Alexandria | GGA+U | relaxed
data_Sc2TiCoO6
_chemical_formula_sum 'Sc2 Ti1 Co1 O6'
_space_group_name_H-M_alt 'P 1'
_space_group_IT_number 1
_space_group_name_Hall 'P 1'
_cell_length_a 5.611
_cell_length_b 5.611
_cell_length_c 5.611
_cell_angle_alpha 55.81
_cell_angle_beta 55.81
_cell_angle_gamma 55.81
loop_
_atom_site_label
_atom_site_fract_x
_atom_site_fract_y
_atom_site_fract_z
Sc1 0.000 0.000 0.000
Sc2 0.497 0.497 0.497
Ti1 0.289 0.289 0.289
Co1 0.784 0.784 0.784
O1 0.097 0.681 0.394
O2 0.195 0.568 0.923
O3 0.394 0.097 0.681
O4 0.568 0.923 0.195
O5 0.681 0.394 0.097
O6 0.923 0.195 0.568
# crystal system = trigonal
# SG = R3, No. 146
# calculated total energy = -8.418 eV/atom